The following is a DFT calculation (PBE with a Hubbard U) of a relaxed HfWI2O crystal.

a b c (Å): 5.8777 5.8777 3.9665
angles (deg): 90.00 90.00 90.00
Last column: nearest neighbours and their distance in Å.
Space group P4/mmm (No. 123)
Inequivalent atoms, fractional coordinates:
Hf: 0.0000 0.0000 0.0000 x1  2 O 1.98
W: 0.5000 0.5000 0.5000 x1  8 I 3.55, 2 W 3.97
I: 0.0000 0.5000 0.0000 x2  2 Hf 2.94
O: 0.0000 0.0000 0.5000 x1  2 Hf 1.98

Output
E above lowest polymorph: 0 meV per atom
V: 27.41 Å³/atom